Here is a geometry-optimized YTi3W structure from the Alexandria database. Energies are from PBE.

Computed properties:
Its total energy is -6.729 eV per atom. The formation energy comes out at 1891 meV/atom. The excess energy over the best structure of this formula in the dataset comes out at 1.321 eV/atom.

```
YTi3W
1.0
-1.625 -1.329 -4.146
-2.741 -3.125 2.077
-3.382 3.172 0.309
W Ti Y
1 3 1
direct
0.500 0.500 0.500
0.500 0.000 0.000
0.000 0.000 0.500
0.000 0.500 0.000
0.000 0.000 0.000
```



Here is a geometry-optimized Y2TiW structure from the Alexandria database. Energies are from PBE.

Computed properties:
Its total energy is -7.836 eV per atom. The formation energy comes out at 608 meV/atom. The excess energy over the best structure of this formula in the dataset comes out at 0.000 eV/atom.

```
Y2TiW
1.0
-1.834 0.028 4.689
-4.490 -2.066 0.959
-0.289 -4.293 2.616
W Ti Y
1 1 2
direct
0.500 0.500 0.500
0.000 0.000 0.000
0.750 0.750 0.750
0.250 0.250 0.250
```



Here is a geometry-optimized YTiW2 structure from the Alexandria database. Energies are from PBE.

Computed properties:
Its total energy is -9.459 eV per atom. The formation energy comes out at 608 meV/atom. The excess energy over the best structure of this formula in the dataset comes out at 0.000 eV/atom.

```
YTiW2
1.0
0.000 3.329 3.329
3.329 0.000 3.329
3.329 3.329 0.000
W Ti Y
2 1 1
direct
0.750 0.750 0.750
0.250 0.250 0.250
0.000 0.000 0.000
0.500 0.500 0.500
```



Here is a geometry-optimized YTi2W structure from the Alexandria database. Energies are from PBE.

Computed properties:
Its total energy is -8.674 eV per atom. The formation energy comes out at 127 meV/atom. The excess energy over the best structure of this formula in the dataset comes out at 0.000 eV/atom.

```
YTi2W
1.0
3.309 0.000 0.000
0.000 3.309 0.000
0.000 0.000 7.287
Ti W Y
2 1 1
direct
0.000 0.000 0.807
0.000 0.000 0.193
0.500 0.500 0.000
0.500 0.500 0.500
```



Number 1: magnetization 0.000 μB/atom. Number 2: magnetization 0.000 μB/atom. Number 3: magnetization 0.000 μB/atom. Number 4: magnetization 0.000 μB/atom.